[1]
VASP calculation (PBE) on a relaxed Rb2InAu crystal.

Results
Total magnetic moment   0.00 μB/f.u.
Formation enthalpy at 0 K   -0.12 eV/atom
Uncorrected energy   -2.107 eV per atom
Space-group type   I-42d (122)

abc: 9.4247 9.4247 9.4247
angles: 94.57 94.57 147.22
Last column: nearest neighbours and their distance in Å.
Element x y z (fractional)
1 Rb 0.3750 0.2093 0.3343  2 Au 3.44
2 Rb 0.7907 0.1250 0.1657  2 Au 3.44
3 Rb 0.8750 0.0407 0.6657  2 Au 3.44
4 Rb 0.9593 0.6250 0.8343  2 Au 3.44
5 In 0.2500 0.7500 0.5000  2 Au 2.66
6 In 0.5000 0.5000 0.0000  2 Au 2.66
7 Au 0.0000 0.0000 0.0000  2 In 2.66
8 Au 0.7500 0.2500 0.5000  2 In 2.66

[2]
VASP calculation (PBE) on a relaxed Sc3As crystal.

Results
Total magnetic moment   0.00 μB/f.u.
Formation enthalpy at 0 K   -0.33 eV/atom
Uncorrected energy   -6.244 eV per atom
Space-group type   Cmmm (65)

abc: 5.2462 5.2462 3.2952
angles: 90.00 90.00 110.23
Last column: nearest neighbours and their distance in Å.
Element x y z (fractional)
1 Sc 0.0000 0.0000 0.0000  2 As 3.00, 10 Sc 3.10-3.30
2 Sc 0.0000 0.5000 0.5000  8 Sc 3.00-3.30, 4 As 3.10
3 Sc 0.5000 0.0000 0.5000  8 Sc 3.00-3.30, 4 As 3.10
4 As 0.5000 0.5000 0.0000  10 Sc 3.00-3.10, 2 As 3.30

[3]
VASP calculation (PBE) on a relaxed Ho3HgPb crystal.

Results
Total magnetic moment   0.00 μB/f.u.
Formation enthalpy at 0 K   -0.36 eV/atom
Uncorrected energy   -3.912 eV per atom
Space-group type   C2/c (15)

abc: 10.8942 10.8942 6.8760
angles: 108.32 108.32 49.00
Last column: nearest neighbours and their distance in Å.
Element x y z (fractional)
1 Ho 0.0089 0.2652 0.6367  2 Pb 3.21-3.25, 2 Hg 3.28-3.29
2 Ho 0.1998 0.7031 0.9513  4 Hg 2.97-2.99, 1 Pb 3.07
3 Ho 0.2652 0.0089 0.1367  2 Pb 3.21-3.25, 2 Hg 3.28-3.29
4 Ho 0.2969 0.8002 0.5487  4 Hg 2.97-2.99, 1 Pb 3.07
5 Ho 0.3226 0.3233 0.0728  4 Pb 3.21-3.33, 1 Hg 3.29, 2 Ho 3.44
6 Ho 0.3233 0.3226 0.5728  4 Pb 3.21-3.33, 1 Hg 3.29, 2 Ho 3.44
7 Ho 0.6767 0.6774 0.4272  4 Pb 3.21-3.33, 1 Hg 3.29, 2 Ho 3.44
8 Ho 0.6774 0.6767 0.9272  4 Pb 3.21-3.33, 1 Hg 3.29, 2 Ho 3.44
9 Ho 0.7031 0.1998 0.4513  4 Hg 2.97-2.99, 1 Pb 3.07
10 Ho 0.7348 0.9911 0.8633  2 Pb 3.21-3.25, 2 Hg 3.28-3.29
11 Ho 0.8002 0.2969 0.0487  4 Hg 2.97-2.99, 1 Pb 3.07
12 Ho 0.9911 0.7348 0.3633  2 Pb 3.21-3.25, 2 Hg 3.28-3.29
13 Hg 0.0002 0.9998 0.2500  8 Ho 2.97-3.29
14 Hg 0.9998 0.0002 0.7500  8 Ho 2.97-3.29
15 Hg 0.4998 0.5002 0.2500  6 Ho 2.99-3.29
16 Hg 0.5002 0.4998 0.7500  6 Ho 2.99-3.29
17 Pb 0.0187 0.4043 0.2123  7 Ho 3.07-3.33
18 Pb 0.4043 0.0187 0.7123  7 Ho 3.07-3.33
19 Pb 0.5957 0.9813 0.2877  7 Ho 3.07-3.33
20 Pb 0.9813 0.5957 0.7877  7 Ho 3.07-3.33

[4]
VASP calculation (PBE) on a relaxed CuSbOs2 crystal.

Results
Total magnetic moment   0.00 μB/f.u.
Formation energy from raw total energies   0.51 eV/atom
Uncorrected energy   -7.160 eV per atom
Space-group type   C2/m (12)

abc: 4.5290 4.5290 5.0018
angles: 100.79 100.79 38.35
Last column: nearest neighbours and their distance in Å.
Element x y z (fractional)
1 Cu 0.0000 0.0000 0.0000  6 Os 2.62-2.64, 4 Sb 2.91
2 Sb 0.5000 0.5000 0.5000  6 Os 2.75-2.76, 4 Cu 2.91, 2 Sb 2.98
3 Os 0.2528 0.2528 0.7777  3 Cu 2.62-2.64, 2 Os 2.68, 3 Sb 2.75-2.76
4 Os 0.7472 0.7472 0.2223  3 Cu 2.62-2.64, 2 Os 2.68, 3 Sb 2.75-2.76

[5]
VASP calculation (PBE) on a relaxed Ca2ScP crystal.

Results
Total magnetic moment   1.07 μB/f.u.
Formation enthalpy at 0 K   -0.22 eV/atom
Uncorrected energy   -4.152 eV per atom
Space-group type   P4/mmm (123)

abc: 4.5560 4.5560 4.5975
angles: 90.00 90.00 90.00
Last column: nearest neighbours and their distance in Å.
Element x y z (fractional)
1 Ca 0.0000 0.5000 0.0000  4 Ca 3.22, 4 Sc 3.24, 4 P 3.24
2 Ca 0.5000 0.0000 0.0000  4 Ca 3.22, 4 Sc 3.24, 4 P 3.24
3 Sc 0.0000 0.0000 0.5000  4 P 3.22, 8 Ca 3.24
4 P 0.5000 0.5000 0.5000  4 Sc 3.22, 8 Ca 3.24

[6]
VASP calculation (PBE) on a relaxed YTiP3 crystal.

Results
Total magnetic moment   0.00 μB/f.u.
E above lowest polymorph   0 meV per atom
Formation enthalpy at 0 K   -0.45 eV/atom
Uncorrected energy   -6.568 eV per atom
Space-group type   Pm-3m (221)

abc: 4.6839 4.6839 4.6839
angles: 90.00 90.00 90.00
Last column: nearest neighbours and their distance in Å.
Element x y z (fractional)
1 Y 0.0000 0.0000 0.0000  12 P 3.31
2 Ti 0.5000 0.5000 0.5000  6 P 2.34
3 P 0.0000 0.5000 0.5000  2 Ti 2.34
4 P 0.5000 0.0000 0.5000  2 Ti 2.34
5 P 0.5000 0.5000 0.0000  2 Ti 2.34

[7]
VASP calculation (PBE) on a relaxed Cs2Na2Te crystal.

Results
Total magnetic moment   0.00 μB/f.u.
Formation energy from raw total energies   -0.41 eV/atom
E above lowest polymorph   0 meV per atom
Uncorrected energy   -1.911 eV per atom
Space-group type   P4/mbm (127)

abc: 8.7128 8.7128 6.1681
angles: 90.00 90.00 90.00
Last column: nearest neighbours and their distance in Å.
Element x y z (fractional)
1 Cs 0.2043 0.2957 0.0000  2 Na 3.66
2 Cs 0.2957 0.7957 0.0000  2 Na 3.66
3 Cs 0.7043 0.2043 0.0000  2 Na 3.66
4 Cs 0.7957 0.7043 0.0000  2 Na 3.66
5 Na 0.1352 0.6352 0.5000  1 Na 3.33, 2 Te 3.39, 2 Cs 3.66
6 Na 0.3648 0.1352 0.5000  1 Na 3.33, 2 Te 3.39, 2 Cs 3.66
7 Na 0.6352 0.8648 0.5000  1 Na 3.33, 2 Te 3.39, 2 Cs 3.66
8 Na 0.8648 0.3648 0.5000  1 Na 3.33, 2 Te 3.39, 2 Cs 3.66
9 Te 0.0000 0.0000 0.5000  4 Na 3.39
10 Te 0.5000 0.5000 0.5000  4 Na 3.39

[8]
VASP calculation (PBE) on a relaxed Ac2PmIrO8 crystal.

Results
Total magnetic moment   1.24 μB/f.u.
Formation energy from raw total energies   -2.22 eV/atom
Uncorrected energy   -7.342 eV per atom
Space-group type   P2/m (10)

abc: 4.5398 7.3374 5.5919
angles: 90.00 96.37 90.00
Last column: nearest neighbours and their distance in Å.
Element x y z (fractional)
1 Ac 0.0000 0.2422 0.0000  4 O 2.35-2.63
2 Ac 0.0000 0.7578 0.0000  4 O 2.35-2.63
3 Pm 0.5000 0.5000 0.5000  6 O 2.30-2.53
4 Ir 0.5000 0.0000 0.5000  6 O 1.85-2.01
5 O 0.0612 0.5000 0.2511  1 Pm 2.30, 2 Ac 2.35
6 O 0.1179 0.0000 0.3464  1 Ir 1.85
7 O 0.4293 0.2057 0.7237  1 Ir 2.01
8 O 0.4293 0.7943 0.7237  1 Ir 2.01
9 O 0.5707 0.2057 0.2763  1 Ir 2.01
10 O 0.5707 0.7943 0.2763  1 Ir 2.01
11 O 0.8821 0.0000 0.6536  1 Ir 1.85
12 O 0.9388 0.5000 0.7489  1 Pm 2.30, 2 Ac 2.35